A:
Entry from Alexandria via LeMat-Bulk: LiMgAu4 after structural relaxation (PBE-GGA).

Summary:
As for the crystal system: monoclinic.

abc: 3.9133 5.0790 6.6088
angles: 106.07 72.78 67.34
Sites, in units of the cell vectors:
Au 0.6655 0.9955 0.6735
Au 0.1754 0.4840 0.1652
Au 0.8246 0.5160 0.8348
Au 0.3345 0.0045 0.3265
Mg 0.5000 0.5000 0.5000
Li 0.0000 0.0000 0.0000

=====

B:
Entry from Alexandria via LeMat-Bulk: LiMgAu4 after structural relaxation (PBE-GGA).

Summary:
As for the crystal system: cubic.

abc: 5.5191 5.5191 5.5191
angles: 60.00 60.00 60.00
Sites, in units of the cell vectors:
Mg 0.0000 0.0000 0.0000
Au 0.8749 0.3750 0.3750
Au 0.3750 0.3750 0.8749
Au 0.3750 0.3750 0.3750
Au 0.3750 0.8749 0.3750
Li 0.7500 0.7500 0.7500

=====

C:
Entry from Alexandria via LeMat-Bulk: LiMgAu4 after structural relaxation (PBE-GGA).

Summary:
As for the crystal system: monoclinic.

abc: 4.9346 4.9347 8.7767
angles: 116.47 116.47 34.05
Sites, in units of the cell vectors:
Au 0.1963 0.1963 0.8364
Au 0.8037 0.8037 0.1636
Au 0.1490 0.1490 0.3383
Au 0.8510 0.8510 0.6617
Mg 0.5000 0.5000 0.5000
Li 0.0000 0.0000 0.0000

=====

It is A that is the most stable of them.

=====

A:
Entry from Alexandria via LeMat-Bulk: Li6Mg12Au after structural relaxation (PBE-GGA).

Summary:
As for the crystal system: trigonal.

abc: 7.9792 7.9813 7.9813
angles: 70.52 70.53 109.47
Sites, in units of the cell vectors:
Mg 0.8203 0.2698 0.9094
Mg 0.5506 0.8209 0.2698
Mg 0.4494 0.1791 0.7302
Mg 0.0872 0.8140 0.7345
Mg 0.1783 0.2655 0.5485
Mg 0.7297 0.9094 0.8209
Mg 0.7268 0.5485 0.1860
Mg 0.8217 0.7345 0.4515
Mg 0.2703 0.0906 0.1791
Mg 0.1797 0.7302 0.0906
Mg 0.2732 0.4515 0.8140
Mg 0.9128 0.1860 0.2655
Li 0.6421 0.4989 0.8590
Li 0.8568 0.3579 0.5011
Li 0.4989 0.1410 0.3579
Li 0.1432 0.6421 0.4989
Li 0.5011 0.8590 0.6421
Li 0.3579 0.5011 0.1410
Au 0.0000 0.0000 0.0000

=====

B:
Entry from Alexandria via LeMat-Bulk: Li6Mg12Au after structural relaxation (PBE-GGA).

Summary:
As for the crystal system: trigonal.

abc: 7.3563 7.3563 7.3563
angles: 89.83 89.83 89.83
Sites, in units of the cell vectors:
Mg 0.8021 0.5281 0.4395
Mg 0.5281 0.4395 0.8021
Mg 0.9766 0.8487 0.6375
Mg 0.5605 0.1979 0.4719
Mg 0.6375 0.9766 0.8487
Mg 0.4395 0.8021 0.5281
Mg 0.1979 0.4719 0.5605
Mg 0.8487 0.6375 0.9766
Mg 0.4719 0.5605 0.1979
Mg 0.3625 0.0234 0.1513
Mg 0.1513 0.3625 0.0234
Mg 0.0234 0.1513 0.3625
Li 0.8943 0.2614 0.7357
Li 0.2614 0.7357 0.8943
Li 0.7386 0.2643 0.1057
Li 0.7357 0.8943 0.2614
Li 0.2643 0.1057 0.7386
Li 0.1057 0.7386 0.2643
Au 0.0000 0.0000 0.0000

=====

It is B that is the most stable of them.

=====

A:
Entry from Alexandria via LeMat-Bulk: Li2Mg2Au after structural relaxation (PBE-GGA).

Summary:
As for the crystal system: monoclinic.

abc: 4.5919 5.4068 8.6964
angles: 65.88 74.69 64.87
Sites, in units of the cell vectors:
Mg 0.5568 0.2384 0.6480
Mg 0.4432 0.7616 0.3520
Mg 0.6661 0.7164 0.9513
Mg 0.3339 0.2836 0.0487
Li 0.8459 0.7460 0.5622
Li 0.1541 0.2540 0.4378
Li 0.0311 0.7837 0.1541
Li 0.9689 0.2163 0.8459
Au 0.7470 0.2428 0.2632
Au 0.2530 0.7572 0.7368

=====

B:
Entry from Alexandria via LeMat-Bulk: Li2Mg2Au after structural relaxation (PBE-GGA).

Summary:
As for the crystal system: tetragonal.

abc: 6.5486 6.5486 4.2418
angles: 90.00 90.00 90.00
Sites, in units of the cell vectors:
Mg 0.6776 0.8224 0.5000
Mg 0.8224 0.3224 0.5000
Mg 0.1776 0.6776 0.5000
Mg 0.3224 0.1776 0.5000
Au 0.0000 0.0000 0.0000
Au 0.5000 0.5000 0.0000
Li 0.1342 0.3658 0.0000
Li 0.3658 0.8658 0.0000
Li 0.6342 0.1342 0.0000
Li 0.8658 0.6342 0.0000

=====

It is A that is the most stable of them.

=====

A:
Entry from Alexandria via LeMat-Bulk: Li2Mg2Au after structural relaxation (PBE-GGA).

Summary:
As for the crystal system: tetragonal.

abc: 3.5307 3.5307 8.2784
angles: 77.69 77.69 90.00
Sites, in units of the cell vectors:
Mg 0.4054 0.4054 0.1893
Mg 0.5946 0.5946 0.8107
Li 0.2500 0.7500 0.5000
Li 0.7500 0.2500 0.5000
Au 0.0000 0.0000 0.0000

=====

B:
Entry from Alexandria via LeMat-Bulk: Li2Mg2Au after structural relaxation (PBE-GGA).

Summary:
As for the crystal system: tetragonal.

abc: 7.0603 7.0603 4.0853
angles: 90.00 90.00 90.00
Sites, in units of the cell vectors:
Au 0.0000 0.0000 0.0000
Au 0.5000 0.5000 0.0000
Li 0.8374 0.3374 0.5000
Li 0.1626 0.6626 0.5000
Li 0.6626 0.8374 0.5000
Li 0.3374 0.1626 0.5000
Mg 0.8531 0.6469 0.0000
Mg 0.1469 0.3531 0.0000
Mg 0.6469 0.1469 0.0000
Mg 0.3531 0.8531 0.0000

=====

C:
Entry from Alexandria via LeMat-Bulk: Li2Mg2Au after structural relaxation (PBE-GGA).

Summary:
As for the crystal system: orthorhombic.

abc: 5.7078 4.1529 5.1917
angles: 66.42 56.65 90.00
Sites, in units of the cell vectors:
Mg 0.7058 0.2058 0.5884
Mg 0.2942 0.7942 0.4116
Au 0.0000 0.0000 0.0000
Li 0.2703 0.5000 0.0000
Li 0.7297 0.5000 0.0000

=====

It is C that is the most stable of them.

=====

A:
Entry from Alexandria via LeMat-Bulk: Li2MgAu3 after structural relaxation (PBE-GGA).

Summary:
As for the crystal system: orthorhombic.

abc: 4.5525 7.2211 6.2511
angles: 90.00 90.00 71.63
Sites, in units of the cell vectors:
Li 0.6681 0.6638 0.5000
Li 0.3319 0.3362 0.5000
Li 0.0000 0.0000 0.0000
Li 0.0000 0.0000 0.5000
Au 0.1640 0.6719 0.2596
Au 0.8360 0.3281 0.2596
Au 0.5000 0.0000 0.7407
Au 0.1640 0.6719 0.7404
Au 0.5000 0.0000 0.2593
Au 0.8360 0.3281 0.7404
Mg 0.3345 0.3310 0.0000
Mg 0.6655 0.6690 0.0000

=====

B:
Entry from Alexandria via LeMat-Bulk: Li2MgAu3 after structural relaxation (PBE-GGA).

Summary:
As for the crystal system: tetragonal.

abc: 3.1511 3.1511 9.7184
angles: 90.00 90.00 90.00
Sites, in units of the cell vectors:
Au 0.0000 0.0000 0.3183
Au 0.0000 0.0000 0.6817
Au 0.0000 0.0000 0.0000
Li 0.5000 0.5000 0.1564
Li 0.5000 0.5000 0.8436
Mg 0.5000 0.5000 0.5000

=====

It is A that is the most stable of them.

=====

A:
Entry from Alexandria via LeMat-Bulk: Li2Mg3Au3 after structural relaxation (PBE-GGA).

Summary:
As for the crystal system: hexagonal.

abc: 5.1571 8.0436 8.0436
angles: 120.00 90.00 90.00
Sites, in units of the cell vectors:
Li 0.0000 0.3333 0.6667
Li 0.5000 0.3333 0.6667
Li 0.0000 0.6667 0.3333
Li 0.5000 0.6667 0.3333
Au 0.2500 0.3943 0.0000
Au 0.7500 0.0000 0.6057
Au 0.7500 0.6057 0.0000
Au 0.7500 0.3943 0.3943
Au 0.2500 0.6057 0.6057
Au 0.2500 0.0000 0.3943
Mg 0.7500 0.7470 0.7470
Mg 0.2500 0.0000 0.7470
Mg 0.2500 0.7470 0.0000
Mg 0.7500 0.0000 0.2530
Mg 0.2500 0.2530 0.2530
Mg 0.7500 0.2530 0.0000

=====

B:
Entry from Alexandria via LeMat-Bulk: Li2Mg3Au3 after structural relaxation (PBE-GGA).

Summary:
As for the crystal system: orthorhombic.

abc: 3.5682 4.3899 9.3855
angles: 103.52 100.96 90.00
Sites, in units of the cell vectors:
Au 0.8641 0.8641 0.7282
Au 0.0000 0.5000 0.0000
Au 0.1359 0.1359 0.2718
Li 0.2520 0.7520 0.5040
Li 0.7480 0.2480 0.4960
Mg 0.6231 0.6231 0.2461
Mg 0.5000 0.0000 0.0000
Mg 0.3769 0.3769 0.7539

=====

It is A that is the most stable of them.